Density functional theory data (GGA-PBE) for Pr8HoSc2 after structural relaxation.

Computed properties:
Total energy: -0.3592 Ry per atom
Energy relative to the lowest polymorph listed for this composition: 0.37 eV per formula unit
Fermi-level density of states: 14.633 states/eV/f.u.

Lattice parameters (Å, degrees): 5.937 9.099 9.320 60.78 75.23 58.51
Fractional coordinates of all 11 atoms:
Pr 0.830 0.096 0.239
Pr 0.830 0.335 0.761
Pr 0.295 0.418 0.000
Pr 0.500 0.791 0.417
Pr 0.500 0.209 0.583
Pr 0.705 0.582 0.000
Pr 0.170 0.665 0.239
Pr 0.170 0.904 0.761
Ho 0.500 0.000 0.000
Sc 0.000 0.310 0.381
Sc 0.000 0.690 0.619



Density functional theory data (GGA-PBE) for Pr8HoSc2 after structural relaxation.

Computed properties:
Total energy: -0.3616 Ry per atom
Energy relative to the lowest polymorph listed for this composition: 0.00 eV per formula unit
Fermi-level density of states: 18.274 states/eV/f.u.

Lattice parameters (Å, degrees): 5.559 8.551 9.389 117.09 107.22 90.00
Fractional coordinates of all 11 atoms:
Pr 0.645 0.847 0.289
Pr 0.355 0.558 0.711
Pr 0.159 0.159 0.318
Pr 0.000 0.301 0.000
Pr 0.841 0.841 0.682
Pr 0.645 0.442 0.289
Pr 0.355 0.153 0.711
Pr 0.000 0.699 0.000
Ho 0.500 0.000 0.000
Sc 0.201 0.701 0.403
Sc 0.799 0.299 0.597